Entry 1:
BaPm2Ge4 | Alexandria | GGA-PBE | relaxed; V = 192.4 Å³/f.u.; magnetization = 0.00 μB/f.u.; energy of formation from the pure elements = -4.82 eV per formula unit
1.0
-3.948 -0.620 0.657
0.009 -3.370 -3.124
4.274 -4.854 8.630
Ge Pm Ba
4 2 1
Cartesian
0.403 -2.869 -0.283 Ge
-0.068 -5.974 6.446 Ge
1.539 -4.574 4.939 Ge
-1.204 -4.270 1.224 Ge
0.851 -2.529 2.731 Pm
-0.516 -6.315 3.432 Pm
-1.974 -0.310 0.328 Ba

Entry 2:
BaPmGe3 | Alexandria | GGA-PBE | relaxed; V = 136.7 Å³/f.u.; magnetization = 0.00 μB/f.u.; energy of formation from the pure elements = -3.12 eV per formula unit
1.0
-3.361 1.097 -2.213
2.120 -1.432 -3.929
-6.409 -12.084 3.745
Ge Ba Pm
6 2 2
Cartesian
-2.859 -3.239 -3.159 Ge
-5.848 -7.140 -0.552 Ge
-5.919 -11.879 1.137 Ge
-4.791 -9.181 0.762 Ge
-1.731 -0.540 -3.534 Ge
-1.802 -5.280 -1.845 Ge
-1.661 -1.690 -0.280 Ba
-5.989 -10.730 -2.117 Ba
-4.692 -4.375 -0.937 Pm
-2.958 -8.045 -1.460 Pm

Which of these has the lowest energy of formation from the pure elements?
BaPm2Ge4

What did the second record say?
BaPmGe3 | Alexandria | GGA-PBE | relaxed; V = 136.7 Å³/f.u.; magnetization = 0.00 μB/f.u.; energy of formation from the pure elements = -3.12 eV per formula unit
1.0
-3.361 1.097 -2.213
2.120 -1.432 -3.929
-6.409 -12.084 3.745
Ge Ba Pm
6 2 2
Cartesian
-2.859 -3.239 -3.159 Ge
-5.848 -7.140 -0.552 Ge
-5.919 -11.879 1.137 Ge
-4.791 -9.181 0.762 Ge
-1.731 -0.540 -3.534 Ge
-1.802 -5.280 -1.845 Ge
-1.661 -1.690 -0.280 Ba
-5.989 -10.730 -2.117 Ba
-4.692 -4.375 -0.937 Pm
-2.958 -8.045 -1.460 Pm

Which formula does entry 1 have?
BaPm2Ge4